Compound: SrPr2Te3
Source: OQMD
Functional: GGA-PBE
Structure: optimized geometry

abc: 4.6050 4.6050 11.2258
angles: 90.00 90.00 120.00
Last column: nearest neighbours and their distance in Å.
Space group P-3m1 (No. 164)
Symmetry-distinct sites (fractional):
Sr 0.0000 0.0000 0.0000  6 Te 3.31
Pr 0.3333 0.6667 0.6518  6 Te 3.16-3.29
Te 0.0000 0.0000 0.5000  6 Pr 3.16
Te 0.3333 0.6667 0.1757  3 Pr 3.29, 3 Sr 3.31

Output
Calculated total energy ... -29.899 eV per cell
Magnetization ... 0.00 μB/cell

***

Compound: SnOsNO
Source: OQMD
Functional: GGA-PBE
Structure: optimized geometry

abc: 4.3419 4.3419 5.4762
angles: 90.00 90.00 90.00
Last column: nearest neighbours and their distance in Å.
Space group P4/nmm (No. 129, origin choice 2)
Symmetry-distinct sites (fractional):
Sn 0.2500 0.7500 0.0000  4 N 2.41
Os 0.2500 0.2500 0.4607  1 N 1.90
N 0.2500 0.2500 0.8083  1 Os 1.90
O 0.2500 0.7500 0.5000  4 Os 2.18

Output
Relative energy among the computed polymorphs ... 3.35 eV per formula unit
Magnetization ... 0.03 μB/cell

***

Compound: ZrTlCoOs
Source: OQMD
Functional: GGA-PBE
Structure: optimized geometry

abc: 6.4733 6.4733 6.4733
angles: 90.00 90.00 90.00
Last column: nearest neighbours and their distance in Å.
Space group F-43m (No. 216)
Symmetry-distinct sites (fractional):
Zr 0.0000 0.0000 0.0000  4 Co 2.80, 4 Os 2.80
Tl 0.0000 0.0000 0.5000  4 Os 2.80, 4 Co 2.80
Co 0.2500 0.2500 0.7500  4 Tl 2.80, 4 Zr 2.80
Os 0.2500 0.2500 0.2500  4 Zr 2.80, 4 Tl 2.80

Output
Relative energy among the computed polymorphs ... 0.00 eV per formula unit
Magnetization ... 0.14 μB/cell